VASP calculation (PBE) on a relaxed structure of NaRhF5.

```
14
Lattice="4.545 -3.350 0.000 4.545 3.350 0.000 -2.993 0.000 7.007" Properties=species:S:1:pos:R:3 pbc="T T T"
Na 2.300 3.127 5.255
Na 3.796 -3.127 1.752
Rh 4.545 0.000 0.000
Rh 3.048 0.000 3.504
F 4.264 1.900 0.232
F 3.328 1.900 3.271
F 1.321 0.182 2.701
F -0.176 -0.182 6.204
F 2.300 0.633 5.255
F 3.796 -0.633 1.752
F 6.272 0.182 0.803
F 4.775 -0.182 4.306
F 2.767 -1.900 3.736
F 1.832 -1.900 6.775
```

Properties
* formation energy without anion corrections: -13.278 eV/f.u.
* magnetic moment: 1.01 μB/f.u.